Arrangement i

The following is a DFT calculation (PBE) of crystalline NiMoRu at its relaxed geometry.

Results
Magnetic moment ... 0.00 μB per formula unit

Geometry as POSCAR:
```
NiMoRu
1.0
8.4885 0.0000 0.0000
0.0000 3.8949 0.0000
-1.8180 0.0000 4.9765
Ni Mo Ru
4 4 4
Cartesian
-0.4401 0.0000 1.2183
2.8664 1.9475 3.7581
3.8042 1.9475 1.2183
7.1107 0.0000 3.7581
1.2436 1.9475 0.5178
1.1827 0.0000 4.4586
5.4878 0.0000 0.5178
5.4270 1.9475 4.4586
0.2922 1.9475 2.9570
2.1341 0.0000 2.0194
4.5365 0.0000 2.9570
6.3783 1.9475 2.0194
```


Arrangement ii

The following is a DFT calculation (PBE) of crystalline NiMoRu at its relaxed geometry.

Results
Magnetic moment ... 0.00 μB per formula unit

Geometry as POSCAR:
```
NiMoRu
1.0
2.7211 0.0000 0.0000
0.0000 2.7211 0.0000
0.0000 0.0000 11.0641
Ni Mo Ru
2 2 2
Cartesian
0.0000 0.0000 0.0000
1.3605 1.3605 5.5320
0.0000 0.0000 3.6985
1.3605 1.3605 9.2306
0.0000 0.0000 7.3436
1.3605 1.3605 1.8115
```


Stability, lowest: arrangement ii


Arrangement i

The following is a DFT calculation (PBE) of crystalline NiMoRu at its relaxed geometry.

Results
Magnetic moment ... 0.00 μB per formula unit

Geometry as POSCAR:
```
NiMoRu
1.0
2.6777 0.0000 0.0000
0.0000 3.8200 0.0000
0.0000 0.0000 7.9981
Ni Mo Ru
2 2 2
Cartesian
0.0000 0.0000 0.0000
1.3388 1.9100 3.9990
0.0000 0.0000 2.6556
1.3388 1.9100 6.6546
0.0000 0.0000 5.2742
1.3388 1.9100 1.2752
```


Arrangement ii

The following is a DFT calculation (PBE) of crystalline NiMoRu at its relaxed geometry.

Results
Magnetic moment ... 0.00 μB per formula unit

Geometry as POSCAR:
```
NiMoRu
1.0
4.2448 0.0000 0.0000
-2.1224 3.6761 0.0000
0.0000 0.0000 2.6503
Ni Mo Ru
1 1 1
Cartesian
0.0000 0.0000 0.0000
2.1224 1.2254 0.2526
0.0000 2.4507 1.4039
```


Stability, lowest: arrangement ii